Record 1
DFT (GGA-PBE) results for a relaxed structure of CrWSe2N.

```
CrWSe2N
1.0
4.9353 0.0000 0.0000
0.0000 4.9353 0.0000
0.0000 0.0000 3.4728
Cr W Se N
1 1 2 1
direct
0.0000 0.0000 0.0000 Cr
0.5000 0.5000 0.5000 W
0.0000 0.5000 0.0000 Se
0.5000 0.0000 0.0000 Se
0.0000 0.0000 0.5000 N
```

Calculated values
Total magnetization (μB per formula unit): 3.92
ΔE_f (raw) (kJ/mol of atoms): 68.6
Space group: P4/mmm (123)
Uncorrected energy (eV/atom): -6.86
Crystal system: tetragonal


Record 2
DFT (GGA-PBE) results for a relaxed structure of LaTmNi2.

```
LaTmNi2
1.0
3.4181 0.0000 0.0000
0.0000 3.4181 0.0000
0.0000 0.0000 6.9172
La Tm Ni
1 1 2
direct
0.0000 0.0000 0.0000 La
0.0000 0.0000 0.5000 Tm
0.5000 0.5000 0.2788 Ni
0.5000 0.5000 0.7212 Ni
```

Calculated values
Calculated formation energy (eV per atom): -0.333
Total magnetization (μB per formula unit): 0.00
Space group: P4/mmm (123)
Uncorrected energy (eV/atom): -5.57
Crystal system: tetragonal


Record 3
DFT (GGA-PBE) results for a relaxed structure of La5CdTe4.

```
La5CdTe4
1.0
-5.1281 5.1281 3.2431
5.1281 -5.1281 3.2431
5.1281 5.1281 -3.2431
La Cd Te
5 1 4
direct
0.0000 0.0000 0.0000 La
0.1989 0.6008 0.7997 La
0.3992 0.1989 0.5980 La
0.6008 0.8011 0.4020 La
0.8011 0.3992 0.2003 La
0.5000 0.5000 0.0000 Cd
0.0993 0.3008 0.4001 Te
0.3008 0.9007 0.2016 Te
0.6992 0.0993 0.7984 Te
0.9007 0.6992 0.5999 Te
```

Calculated values
Total magnetization (μB per formula unit): 0.00
ΔE_f (raw) (kJ/mol of atoms): -127.3
Space group: I4/m (87)
Uncorrected energy (eV/atom): -5.13
Crystal system: tetragonal